Here is a relaxed K3Sm3VO8 crystal from Alexandria. Energies are from PBE+U.

a b c (Å): 6.9134 6.8890 7.4603
angles (deg): 117.63 90.00 120.12
Last column: nearest neighbours and their distance in Å.
Fractional coordinates of all 15 atoms:
K 0.0000 0.0000 0.0000  6 O 2.77-2.81
K 0.0000 0.5000 0.0000  6 O 2.79-2.81
K 0.5000 0.5000 0.0000  6 O 2.79-2.81
Sm 0.5000 0.0000 0.5000  6 O 2.32-2.38
Sm 0.5000 0.5000 0.5000  6 O 2.32-2.39
Sm 0.0000 0.5000 0.5000  6 O 2.32-2.39
V 0.0000 0.0000 0.5000  6 O 2.00-2.07
O 0.2692 0.5384 0.3101  3 Sm 2.32
O 0.7308 0.4616 0.6899  3 Sm 2.32
O 0.8008 0.6015 0.3326  1 V 2.00
O 0.1992 0.3985 0.6674  1 V 2.00
O 0.7953 0.0335 0.3287  1 V 2.07
O 0.2047 0.9665 0.6713  1 V 2.07
O 0.2382 0.0335 0.3287  1 V 2.07
O 0.7618 0.9665 0.6713  1 V 2.07

The calculation puts the density of states at the Fermi level at 0.00 states/eV/cell. As for the symmetry: C2/m, No. 12. As for the volume: 259.44 Å³/cell. Its spin magnetization is 0.067 μB per atom. The calculation puts the total energy at -6.822 eV/atom.